Here is an optimized crystal structure of MgBe2Tc from the Alexandria database. Energies are from PBE.

Its volume is 12.33 Å³/atom. The energy above the lowest structure with this stoichiometry is 331 meV per atom. The calculation puts the total energy at -4.486 eV/atom.

The structure belongs to space group F-43m (No. 216); the cell edges are 5.821, 5.821 and 5.821 Å and the angles 90.00°, 90.00° and 90.00°. Symmetry generates all atoms from Mg at (0.000, 0.000, 0.000), Be at (0.000, 0.000, 0.500), Be at (0.250, 0.250, 0.250) and Tc at (0.250, 0.250, 0.750).


Here is an optimized crystal structure of MgBeTc from the Alexandria database. Energies are from PBE.

Its volume is 14.17 Å³/atom. The energy above the lowest structure with this stoichiometry is 85 meV per atom. The calculation puts the total energy at -4.967 eV/atom.

The structure belongs to space group Fmm2 (No. 42); the cell edges are 3.261, 4.274 and 12.202 Å and the angles 90.00°, 90.00° and 90.00°. Symmetry generates all atoms from Mg at (0.000, 0.000, 0.000), Be at (0.000, 0.000, 0.324) and Tc at (0.000, 0.000, 0.686).


Here is an optimized crystal structure of MgBeTc from the Alexandria database. Energies are from PBE.

Its volume is 14.95 Å³/atom. The energy above the lowest structure with this stoichiometry is 56 meV per atom. The calculation puts the total energy at -4.996 eV/atom.

The structure belongs to space group Amm2 (No. 38); the cell edges are 3.049, 3.211 and 9.157 Å and the angles 90.00°, 90.00° and 90.00°. Symmetry generates all atoms from Mg at (0.000, 0.000, 0.000), Be at (0.000, 0.000, 0.730) and Tc at (0.500, 0.000, 0.279).


Here is an optimized crystal structure of MgBe2Tc from the Alexandria database. Energies are from PBE.

Its volume is 12.12 Å³/atom. The energy above the lowest structure with this stoichiometry is 89 meV per atom. The calculation puts the total energy at -4.728 eV/atom.

The structure belongs to space group Imm2 (No. 44); the cell edges are 2.743, 4.148 and 8.525 Å and the angles 90.00°, 90.00° and 90.00°. Symmetry generates all atoms from Mg at (0.000, 0.000, 0.000), Be at (0.000, 0.000, 0.532), Be at (0.000, 0.500, 0.239) and Tc at (0.000, 0.500, 0.780).